Density functional theory data (PBE) for a geometry-optimized Ba2V2Ni structure.

Cell: 6.5700 6.5700 5.6134 Å, 90.00 90.00 90.00°
Closest atoms and distances in Å follow each position.
Space group P4/mbm (No. 127)
Unique sites:
Ba (0.1928, 0.3072, 0.0000) [4 per cell]  6 V 3.34-3.49, 5 Ba 3.37-3.58, 4 Ni 3.68
V (0.1132, 0.6132, 0.5000) [4 per cell]  1 V 2.10
Ni (0.0000, 0.0000, 0.5000) [2 per cell]  4 V 2.65

Calculated values
The distance to the lowest polymorph of the same formula is 0.916 eV per formula unit. The value obtained for the calculated formation energy is 19.78 kcal/mol of atoms.

***

Density functional theory data (PBE) for a geometry-optimized PmAsSe structure.

Cell: 14.6678 14.6678 11.8409 Å, 90.00 90.00 120.00°
Closest atoms and distances in Å follow each position.
Space group R-3 (No. 148, hexagonal axes)
Unique sites:
Pm (0.0506, 0.5708, 0.3447) [18 per cell]  3 Se 2.82-2.84, 2 As 2.97-3.01
As (0.0018, 0.8422, 0.4645) [18 per cell]  2 As 2.47
Se (0.0310, 0.7844, 0.9058) [18 per cell]  3 Pm 2.82-2.84

Calculated values
The distance to the lowest polymorph of the same formula is 1.275 eV per formula unit. The calculation puts the uncorrected formation energy at -1.044 eV/atom.

***

Density functional theory data (PBE) for a geometry-optimized AcEuPd structure.

Cell: 7.4002 7.4002 7.4002 Å, 90.00 90.00 90.00°
Closest atoms and distances in Å follow each position.
Space group F-43m (No. 216)
Unique sites:
Ac (0.0000, 0.0000, 0.0000) [4 per cell]  4 Pd 3.20
Eu (0.0000, 0.0000, 0.5000) [4 per cell]  4 Pd 3.20
Pd (0.2500, 0.2500, 0.7500) [4 per cell]  4 Ac 3.20, 4 Eu 3.20

Calculated values
The distance to the lowest polymorph of the same formula is 0.124 eV per formula unit. The value obtained for the calculated formation energy is -9.94 kcal/mol of atoms.

***

Density functional theory data (PBE) for a geometry-optimized Zr2NiSb structure.

Cell: 3.6913 3.6913 5.9813 Å, 90.00 90.00 90.00°
Closest atoms and distances in Å follow each position.
Space group P4mm (No. 99)
Unique sites:
Zr (0.0000, 0.0000, 0.0000) [1 per cell]  4 Sb 2.94, 2 Ni 2.94-3.04, 4 Zr 3.15
Zr (0.5000, 0.5000, 0.2947) [1 per cell]  4 Ni 2.86, 2 Sb 2.88-3.11, 4 Zr 3.15
Ni (0.0000, 0.0000, 0.4916) [1 per cell]  6 Zr 2.86-3.04, 4 Sb 3.11
Sb (0.5000, 0.5000, 0.7755) [1 per cell]  6 Zr 2.88-3.11, 4 Ni 3.11

Calculated values
The calculation puts the uncorrected formation energy at -0.307 eV/atom.

***

What did we get for total magnetic moment? Answer: 0.336 0.000 2.472 0.000 μB per atom, in the order shown.